CuSnIN2 | PBE-GGA | relaxed

Calculated values
**DOS at the Fermi energy**: 2.25 states/eV per cell
**Magnetization**: 3.14 μB per cell
**Raw formation energy**: 7.77 eV/f.u.

Unit cell a=4.213 b=4.213 c=5.532 alpha=90.00 beta=90.00 gamma=90.00
Site moments in Bohr magnetons follow the coordinates.
Positions (direct):
I (0.000, 0.000, 0.500)  0.08
Sn (0.500, 0.500, 0.500)  -0.11
Cu (0.000, 0.000, 0.000)  0.27
N (0.000, 0.500, 0.000)  1.05
N (0.500, 0.000, 0.000)  1.05